14
Lattice="5.6345 0.0000 0.0000 -2.8173 4.8796 0.0000 0.0000 0.0000 7.2083" Properties=species:S:1:pos:R:3 comment="Sr3LiV2O8 PBE+U optimized geometry" magnetic_moment_mub_per_fu=1.00 total_energy_ev_per_atom=-6.807 sg="P-3m1 (164)" pbc="T T T"
Sr 0.0000 0.0000 0.0000
Sr 0.0000 3.2531 4.6045
Sr 2.8173 1.6265 2.6038
Li 0.0000 0.0000 3.6041
V 0.0000 3.2531 1.4844
V 2.8173 1.6265 5.7238
O 0.0000 1.6407 2.2328
O -1.3964 4.0593 2.2328
O 0.0000 3.2531 6.9407
O 1.4209 0.8204 4.9754
O 1.3964 4.0593 2.2328
O 2.8173 1.6265 0.2676
O 4.2136 0.8204 4.9754
O 2.8173 3.2389 4.9754

---

8
Lattice="-2.9251 2.9251 3.3398 2.9251 -2.9251 3.3398 2.9251 2.9251 -3.3398" Properties=species:S:1:pos:R:3 comment="Sr2LiVO4 PBE+U optimized geometry" magnetic_moment_mub_per_fu=0.04 total_energy_ev_per_atom=-6.248 sg="I-4 (82)" pbc="T T T"
Sr 0.0000 0.0000 0.0000
Sr 0.0000 2.9251 1.6699
Li 2.9251 0.0000 1.6699
V 0.0000 0.0000 3.3398
O 1.5048 -1.0132 2.8196
O 1.9118 1.4202 0.5203
O 1.4202 3.9383 -0.5203
O 1.0132 1.5048 3.8601

---

8
Lattice="-2.6700 2.6700 3.4736 2.6700 -2.6700 3.4736 2.6700 2.6700 -3.4736" Properties=species:S:1:pos:R:3 comment="SrLi2VO4 PBE+U optimized geometry" magnetic_moment_mub_per_fu=1.00 total_energy_ev_per_atom=-6.367 sg="I-42m (121)" pbc="T T T"
Sr 0.0000 0.0000 0.0000
Li 2.6700 0.0000 1.7368
Li 0.0000 2.6700 1.7368
V 0.0000 0.0000 3.4736
O 1.0413 -1.0413 2.3832
O 1.6286 1.6286 1.0904
O -1.0413 1.0413 2.3832
O 1.0413 1.0413 4.5640

---

12
Lattice="5.7165 0.0000 0.0000 -2.8582 4.9506 0.0000 0.0000 0.0000 6.7602" Properties=species:S:1:pos:R:3 comment="Sr3Li2WO6 PBE+U optimized geometry" magnetic_moment_mub_per_fu=0.00 total_energy_ev_per_atom=-6.060 sg="P-3m1 (164)" pbc="T T T"
Sr 0.0000 0.0000 0.0000
Sr 0.0000 3.3004 4.2786
Sr 2.8582 1.6502 2.4816
Li 0.0000 3.3004 1.3472
Li 2.8582 1.6502 5.4130
W 0.0000 0.0000 3.3801
O 0.0000 1.5933 2.2306
O -1.4784 4.1540 2.2306
O 1.3798 0.7966 4.5296
O 1.4784 4.1540 2.2306
O 4.3366 0.7966 4.5296
O 2.8582 3.3573 4.5296